Entry 1:
Computed, not measured: a relaxed HoTiAlIn crystal at the PBE-GGA level of DFT.

Cell and atoms, written as POSCAR:
```
HoTiAlIn
1.0
0.000 3.490 3.490
3.490 0.000 3.490
3.490 3.490 0.000
Ho Ti Al In
1 1 1 1
Direct
0.000 0.000 0.000 Ho
0.500 0.500 0.500 Ti
0.250 0.250 0.250 Al
0.750 0.750 0.750 In
```

Entry 2:
Computed, not measured: a relaxed HoZrAlIn crystal at the PBE-GGA level of DFT.

Cell and atoms, written as POSCAR:
```
HoZrAlIn
1.0
0.000 3.571 3.571
3.571 0.000 3.571
3.571 3.571 0.000
Ho Zr Al In
1 1 1 1
Direct
0.000 0.000 0.000 Ho
0.500 0.500 0.500 Zr
0.250 0.250 0.250 Al
0.750 0.750 0.750 In
```

no.,volume (Å³ per cell),formation energy from the elements (eV per atom)
1,85.0,-0.1723
2,91.1,-0.2610